A plane-wave DFT calculation with GGA-PBE was carried out for a relaxed structure of TlFePb2.

```
TlFePb2
1.0
0.0000 3.7504 3.7504
3.7504 0.0000 3.7504
3.7504 3.7504 0.0000
Tl Fe Pb
1 1 2
direct
0.0000 0.0000 0.0000
0.7500 0.7500 0.7500
0.2500 0.2500 0.2500
0.5000 0.5000 0.5000
```

Properties
**Symmetry**: No. 216
**Energy of formation**: 577 meV per atom
**Energy relative to the lowest polymorph listed for this composition**: 258 meV per atom